Record 1
VASP calculation (GGA-PBE) on crystalline K2CaYNi at its relaxed geometry.

a = 6.438 Å, b = 6.438 Å, c = 6.246 Å
α = 90.00°, β = 90.00°, γ = 90.00°
Space group P4/mmm (No. 123)
One atom of each set of equivalent atoms:
K  0.000  0.500  0.000
Ca  0.000  0.000  0.000
Y  0.000  0.000  0.500
Ni  0.500  0.500  0.500

Values from the calculation:
N(E_F) = 1.66 states/eV/atom
Mass density = 1.7 Mg/m³
Volume = 51.78 Å³ per atom
Formation enthalpy at 0 K = 1.48 eV/atom

***

Record 2
VASP calculation (GGA-PBE) on crystalline KCa2YNi at its relaxed geometry.

a = 5.799 Å, b = 5.799 Å, c = 5.297 Å
α = 90.00°, β = 90.00°, γ = 90.00°
Space group P4/mmm (No. 123)
One atom of each set of equivalent atoms:
K  0.000  0.000  0.000
Ca  0.000  0.500  0.500
Y  0.500  0.500  0.000
Ni  0.500  0.500  0.500

Values from the calculation:
N(E_F) = 0.94 states/eV/atom
Mass density = 2.5 Mg/m³
Volume = 35.63 Å³ per atom
Formation enthalpy at 0 K = 0.05 eV/atom

***

Record 3
VASP calculation (GGA-PBE) on crystalline KCaZnNi2 at its relaxed geometry.

a = 4.928 Å, b = 4.928 Å, c = 6.277 Å
α = 90.00°, β = 90.00°, γ = 90.00°
Space group P4/mmm (No. 123)
One atom of each set of equivalent atoms:
K  0.000  0.000  0.000
Ca  0.000  0.000  0.500
Zn  0.500  0.500  0.000
Ni  0.000  0.500  0.500

Values from the calculation:
N(E_F) = 0.83 states/eV/atom
Mass density = 2.9 Mg/m³
Volume = 30.49 Å³ per atom
Formation enthalpy at 0 K = 1.15 eV/atom

***

Record 4
VASP calculation (GGA-PBE) on crystalline KCa2ZnNi at its relaxed geometry.

a = 5.532 Å, b = 5.532 Å, c = 4.943 Å
α = 90.00°, β = 90.00°, γ = 90.00°
Space group P4/mmm (No. 123)
One atom of each set of equivalent atoms:
K  0.000  0.000  0.000
Ca  0.000  0.500  0.500
Zn  0.500  0.500  0.000
Ni  0.500  0.500  0.500

Values from the calculation:
N(E_F) = 0.49 states/eV/atom
Mass density = 2.7 Mg/m³
Volume = 30.25 Å³ per atom
Formation enthalpy at 0 K = 0.03 eV/atom

***

Record 5
VASP calculation (GGA-PBE) on crystalline KCaZr2Ni at its relaxed geometry.

a = 5.027 Å, b = 5.027 Å, c = 5.754 Å
α = 90.00°, β = 90.00°, γ = 90.00°
Space group P4/mmm (No. 123)
One atom of each set of equivalent atoms:
K  0.000  0.000  0.000
Ca  0.500  0.500  0.000
Zr  0.000  0.500  0.500
Ni  0.500  0.500  0.500

Values from the calculation:
N(E_F) = 1.85 states/eV/atom
Mass density = 3.7 Mg/m³
Volume = 29.07 Å³ per atom
Formation enthalpy at 0 K = 0.47 eV/atom

***

Record 6
VASP calculation (GGA-PBE) on crystalline K3CaNp2O9 at its relaxed geometry.

a = 6.0970 Å, b = 6.0970 Å, c = 7.4844 Å
α = 90.00°, β = 90.00°, γ = 120.00°
Space group P-3m1 (No. 164)
One atom of each set of equivalent atoms:
K  0.0000  0.0000  0.0000
K  0.3333  0.6667  0.6565
Ca  0.0000  0.0000  0.5000
Np  0.3333  0.6667  0.1642
O  0.0000  0.5000  0.0000
O  0.1793  0.3587  0.3150

Values from the calculation:
Raw formation energy = -2571 meV per atom
N(E_F) = 0.49 states/eV/atom
Mass density = 5.3 Mg/m³
Volume = 16.06 Å³ per atom

***

Record 7
VASP calculation (GGA-PBE) on crystalline K2CaNpO4 at its relaxed geometry.

a = 6.061 Å, b = 3.545 Å, c = 6.557 Å
α = 90.00°, β = 107.78°, γ = 90.00°
Space group P2/m (No. 10)
One atom of each set of equivalent atoms:
K  0.000  0.000  0.000
K  0.500  0.500  0.000
Ca  0.000  0.500  0.500
Np  0.500  0.000  0.500
O  0.256  0.000  0.683
O  0.282  0.500  0.309

Values from the calculation:
Raw formation energy = -2437 meV per atom
N(E_F) = 0.86 states/eV/atom
Mass density = 5.2 Mg/m³
Volume = 16.77 Å³ per atom

***

Record 8
VASP calculation (GGA-PBE) on crystalline K3Ca2NpO6 at its relaxed geometry.

a = 6.061 Å, b = 10.498 Å, c = 6.541 Å
α = 90.00°, β = 108.02°, γ = 90.00°
Space group C2/m (No. 12)
One atom of each set of equivalent atoms:
K  0.000  0.000  0.000
K  0.000  0.329  0.000
Ca  0.000  0.167  0.500
Np  0.000  0.500  0.500
O  0.215  0.348  0.688
O  0.240  0.500  0.312

Values from the calculation:
Raw formation energy = -2478 meV per atom
N(E_F) = 0.68 states/eV/atom
Mass density = 4.5 Mg/m³
Volume = 16.49 Å³ per atom

***

Record 9
VASP calculation (GGA-PBE) on crystalline K2Ca2NpO6 at its relaxed geometry.

a = 6.050 Å, b = 10.234 Å, c = 6.640 Å
α = 90.00°, β = 108.38°, γ = 90.00°
Space group C2/m (No. 12)
One atom of each set of equivalent atoms:
K  0.000  0.173  0.000
Ca  0.000  0.336  0.500
Np  0.000  0.000  0.500
O  0.205  0.152  0.677
O  0.229  0.000  0.322

Values from the calculation:
Raw formation energy = -2653 meV per atom
Mass density = 4.2 Mg/m³
Volume = 17.73 Å³ per atom

***

Record 10
VASP calculation (GGA-PBE) on crystalline KCa2NpO6 at its relaxed geometry.

a = 5.9560 Å, b = 5.9560 Å, c = 15.9464 Å
α = 90.00°, β = 90.00°, γ = 120.00°
Space group R3 (No. 146, hexagonal axes)
One atom of each set of equivalent atoms:
K  0.0000  0.0000  0.0000
Ca  0.0000  0.0000  0.2132
Ca  0.0000  0.0000  0.7331
Np  0.0000  0.0000  0.5283
O  0.0389  0.3652  0.1299
O  0.0957  0.7099  0.2754

Values from the calculation:
Raw formation energy = -2707 meV per atom
Mass density = 4.6 Mg/m³
Volume = 16.33 Å³ per atom

***

Record 11
VASP calculation (GGA-PBE) on crystalline K3Ca2NpS6 at its relaxed geometry.

a = 7.101 Å, b = 12.297 Å, c = 7.700 Å
α = 90.00°, β = 107.97°, γ = 90.00°
Space group C2/m (No. 12)
One atom of each set of equivalent atoms:
K  0.000  0.000  0.000
K  0.000  0.329  0.000
Ca  0.000  0.166  0.500
Np  0.000  0.500  0.500
S  0.222  0.345  0.701
S  0.241  0.500  0.299

Values from the calculation:
Raw formation energy = -1576 meV per atom
N(E_F) = 0.67 states/eV/atom
Mass density = 3.3 Mg/m³
Volume = 26.65 Å³ per atom

***

Record 12
VASP calculation (GGA-PBE) on crystalline K3CaNp3Se8 at its relaxed geometry.

a = 8.4354 Å, b = 8.4354 Å, c = 23.1330 Å
α = 90.00°, β = 90.00°, γ = 120.00°
Space group R-3m (No. 166, hexagonal axes)
One atom of each set of equivalent atoms:
K  0.0000  0.5000  0.0000
Ca  0.0000  0.0000  0.5000
Np  0.0000  0.5000  0.5000
Se  0.0000  0.0000  0.2347
Se  0.0140  0.5070  0.7664

Values from the calculation:
Raw formation energy = -1329 meV per atom
N(E_F) = 1.98 states/eV/atom
Mass density = 5.2 Mg/m³
Volume = 31.68 Å³ per atom

***

Q: The highest volume belongs to which entry?
A: K2CaYNi